This record from Alexandria describes CsHoMnS4 after structural relaxation. The functional is PBE-GGA.

Results
For the spin magnetization, the calculation gives 0.429 μB/atom. For the uncorrected formation energy, the calculation gives -1.2110 eV/atom. As for the raw total energy: -5.6554 eV/atom.

extended XYZ file:
```
14
Lattice="6.580 0.000 -0.113 0.000 6.490 0.000 -2.732 0.000 9.022" Properties=species:S:1:pos:R:3 pbc="T T T"
S 2.570 1.623 3.862
Ho 3.829 4.868 3.995
Mn 0.550 4.868 3.027
S 5.679 3.243 2.684
Cs 2.273 4.868 8.395
S 2.319 4.868 1.750
Ho 0.019 1.623 4.914
S 1.529 1.623 7.160
Mn 3.298 1.623 5.882
S 1.277 4.868 5.047
Cs 1.575 1.623 0.514
S -1.831 3.247 6.225
S 5.679 0.002 2.684
S -1.831 6.488 6.225
```